(1)
VASP calculation (GGA-PBE) on a relaxed DyY3Ho6Th2 crystal.

The structure in CIF format:
```
data_DyY3Ho6Th2
_chemical_formula_sum 'Dy2 Y6 Ho12 Th4'
_space_group_name_H-M_alt 'C 1 2/m 1'
_space_group_IT_number 12
_cell_length_a 6.155
_cell_length_b 10.651
_cell_length_c 11.750
_cell_angle_alpha 90.00
_cell_angle_beta 100.06
_cell_angle_gamma 90.00
loop_
_space_group_symop_operation_xyz
'x,y,z'
'-x,-y,-z'
'-x,y,-z'
'x,-y,z'
'x+1/2,y+1/2,z'
'-x+1/2,-y+1/2,-z'
'-x+1/2,y+1/2,-z'
'x+1/2,-y+1/2,z'
loop_
_atom_site_label
_atom_site_type_symbol
_atom_site_fract_x
_atom_site_fract_y
_atom_site_fract_z
Dy1 Dy 0.000 0.000 0.000
Y1 Y 0.000 0.166 0.500
Y2 Y 0.000 0.500 0.500
Ho1 Ho 0.246 0.500 0.247
Ho2 Ho 0.249 0.332 0.753
Th1 Th 0.000 0.333 0.000
```



(2)
VASP calculation (GGA-PBE) on a relaxed Dy6Y3HoTh2 crystal.

The structure in CIF format:
```
data_Dy6Y3HoTh2
_chemical_formula_sum 'Dy12 Y6 Ho2 Th4'
_space_group_name_H-M_alt 'C 1 2/m 1'
_space_group_IT_number 12
_cell_length_a 6.164
_cell_length_b 10.667
_cell_length_c 11.790
_cell_angle_alpha 90.00
_cell_angle_beta 100.04
_cell_angle_gamma 90.00
loop_
_space_group_symop_operation_xyz
'x,y,z'
'-x,-y,-z'
'-x,y,-z'
'x,-y,z'
'x+1/2,y+1/2,z'
'-x+1/2,-y+1/2,-z'
'-x+1/2,y+1/2,-z'
'x+1/2,-y+1/2,z'
loop_
_atom_site_label
_atom_site_type_symbol
_atom_site_fract_x
_atom_site_fract_y
_atom_site_fract_z
Dy1 Dy 0.246 0.000 0.247
Dy2 Dy 0.249 0.168 0.753
Y1 Y 0.000 0.000 0.500
Y2 Y 0.000 0.334 0.500
Ho1 Ho 0.000 0.500 0.000
Th1 Th 0.000 0.167 0.000
```



(3)
VASP calculation (GGA-PBE) on a relaxed DyY2Ho5Th crystal.

The structure in CIF format:
```
data_DyY2Ho5Th
_chemical_formula_sum 'Dy4 Y8 Ho20 Th4'
_space_group_name_H-M_alt 'C m c 21'
_space_group_IT_number 36
_cell_length_a 5.685
_cell_length_b 21.360
_cell_length_c 9.717
_cell_angle_alpha 90.00
_cell_angle_beta 90.00
_cell_angle_gamma 90.00
loop_
_space_group_symop_operation_xyz
'x,y,z'
'-x,-y,z+1/2'
'-x,y,z'
'x,-y,z+1/2'
'x+1/2,y+1/2,z'
'-x+1/2,-y+1/2,z+1/2'
'-x+1/2,y+1/2,z'
'x+1/2,-y+1/2,z+1/2'
loop_
_atom_site_label
_atom_site_type_symbol
_atom_site_fract_x
_atom_site_fract_y
_atom_site_fract_z
Dy1 Dy 0.000 0.191 0.000
Y1 Y 0.000 0.115 0.311
Y2 Y 0.000 0.128 0.695
Ho1 Ho 0.000 0.015 0.001
Ho2 Ho 0.000 0.272 0.307
Ho3 Ho 0.000 0.304 0.698
Ho4 Ho 0.000 0.399 0.023
Ho5 Ho 0.000 0.469 0.724
Th1 Th 0.000 0.406 0.407
```



(4)
VASP calculation (GGA-PBE) on a relaxed Dy6YHo3Th2 crystal.

The structure in CIF format:
```
data_Dy6YHo3Th2
_chemical_formula_sum 'Dy12 Y2 Ho6 Th4'
_space_group_name_H-M_alt 'C 1 2/m 1'
_space_group_IT_number 12
_cell_length_a 6.152
_cell_length_b 10.645
_cell_length_c 11.756
_cell_angle_alpha 90.00
_cell_angle_beta 100.05
_cell_angle_gamma 90.00
loop_
_space_group_symop_operation_xyz
'x,y,z'
'-x,-y,-z'
'-x,y,-z'
'x,-y,z'
'x+1/2,y+1/2,z'
'-x+1/2,-y+1/2,-z'
'-x+1/2,y+1/2,-z'
'x+1/2,-y+1/2,z'
loop_
_atom_site_label
_atom_site_type_symbol
_atom_site_fract_x
_atom_site_fract_y
_atom_site_fract_z
Dy1 Dy 0.246 0.000 0.249
Dy2 Dy 0.248 0.169 0.751
Y1 Y 0.000 0.500 0.000
Ho1 Ho 0.000 0.000 0.500
Ho2 Ho 0.000 0.334 0.500
Th1 Th 0.000 0.167 0.000
```



(5)
VASP calculation (GGA-PBE) on a relaxed DyYHo3Th crystal.

The structure in CIF format:
```
data_DyYHo3Th
_chemical_formula_sum 'Dy2 Y2 Ho6 Th2'
_space_group_name_H-M_alt 'P 1 21/m 1'
_space_group_IT_number 11
_cell_length_a 10.619
_cell_length_b 3.557
_cell_length_c 10.621
_cell_angle_alpha 90.00
_cell_angle_beta 109.27
_cell_angle_gamma 90.00
loop_
_space_group_symop_operation_xyz
'x,y,z'
'-x,-y,-z'
'-x,y+1/2,-z'
'x,-y+1/2,z'
loop_
_atom_site_label
_atom_site_type_symbol
_atom_site_fract_x
_atom_site_fract_y
_atom_site_fract_z
Dy1 Dy 0.128 0.250 0.126
Y1 Y 0.125 0.250 0.791
Ho1 Ho 0.128 0.250 0.458
Ho2 Ho 0.375 0.750 0.043
Ho3 Ho 0.379 0.750 0.706
Th1 Th 0.375 0.750 0.377
```



(6)
VASP calculation (GGA-PBE) on a relaxed Dy3Y2Ho6Th crystal.

The structure in CIF format:
```
data_Dy3Y2Ho6Th
_chemical_formula_sum 'Dy6 Y4 Ho12 Th2'
_space_group_name_H-M_alt 'C 1 2/m 1'
_space_group_IT_number 12
_cell_length_a 6.140
_cell_length_b 10.628
_cell_length_c 11.741
_cell_angle_alpha 90.00
_cell_angle_beta 100.04
_cell_angle_gamma 90.00
loop_
_space_group_symop_operation_xyz
'x,y,z'
'-x,-y,-z'
'-x,y,-z'
'x,-y,z'
'x+1/2,y+1/2,z'
'-x+1/2,-y+1/2,-z'
'-x+1/2,y+1/2,-z'
'x+1/2,-y+1/2,z'
loop_
_atom_site_label
_atom_site_type_symbol
_atom_site_fract_x
_atom_site_fract_y
_atom_site_fract_z
Dy1 Dy 0.000 0.000 0.000
Dy2 Dy 0.000 0.333 0.000
Y1 Y 0.000 0.167 0.500
Ho1 Ho 0.245 0.500 0.250
Ho2 Ho 0.249 0.335 0.750
Th1 Th 0.000 0.500 0.500
```



(7)
VASP calculation (GGA-PBE) on a relaxed DyY6Ho2Th crystal.

The structure in CIF format:
```
data_DyY6Ho2Th
_chemical_formula_sum 'Dy4 Y24 Ho8 Th4'
_space_group_name_H-M_alt 'C 1 2/c 1'
_space_group_IT_number 15
_cell_length_a 9.290
_cell_length_b 15.011
_cell_length_c 9.367
_cell_angle_alpha 90.00
_cell_angle_beta 95.44
_cell_angle_gamma 90.00
loop_
_space_group_symop_operation_xyz
'x,y,z'
'-x,-y,-z'
'-x,y,-z+1/2'
'x,-y,z+1/2'
'x+1/2,y+1/2,z'
'-x+1/2,-y+1/2,-z'
'-x+1/2,y+1/2,-z+1/2'
'x+1/2,-y+1/2,z+1/2'
loop_
_atom_site_label
_atom_site_type_symbol
_atom_site_fract_x
_atom_site_fract_y
_atom_site_fract_z
Dy1 Dy 0.000 0.087 0.250
Y1 Y 0.057 0.324 0.441
Y2 Y 0.096 0.114 0.610
Y3 Y 0.211 0.279 0.815
Ho1 Ho 0.248 0.051 0.945
Th1 Th 0.000 0.467 0.750
```



(8)
VASP calculation (GGA-PBE) on a relaxed Dy3YHo6Th2 crystal.

The structure in CIF format:
```
data_Dy3YHo6Th2
_chemical_formula_sum 'Dy6 Y2 Ho12 Th4'
_space_group_name_H-M_alt 'C 1 2/m 1'
_space_group_IT_number 12
_cell_length_a 6.146
_cell_length_b 10.636
_cell_length_c 11.724
_cell_angle_alpha 90.00
_cell_angle_beta 100.09
_cell_angle_gamma 90.00
loop_
_space_group_symop_operation_xyz
'x,y,z'
'-x,-y,-z'
'-x,y,-z'
'x,-y,z'
'x+1/2,y+1/2,z'
'-x+1/2,-y+1/2,-z'
'-x+1/2,y+1/2,-z'
'x+1/2,-y+1/2,z'
loop_
_atom_site_label
_atom_site_type_symbol
_atom_site_fract_x
_atom_site_fract_y
_atom_site_fract_z
Dy1 Dy 0.000 0.000 0.000
Dy2 Dy 0.000 0.334 0.000
Y1 Y 0.000 0.500 0.500
Ho1 Ho 0.246 0.000 0.749
Ho2 Ho 0.248 0.169 0.252
Th1 Th 0.000 0.167 0.500
```



(9)
VASP calculation (GGA-PBE) on a relaxed Dy2Y6HoTh3 crystal.

The structure in CIF format:
```
data_Dy2Y6HoTh3
_chemical_formula_sum 'Dy4 Y12 Ho2 Th6'
_space_group_name_H-M_alt 'C 1 2/m 1'
_space_group_IT_number 12
_cell_length_a 6.195
_cell_length_b 10.725
_cell_length_c 11.757
_cell_angle_alpha 90.00
_cell_angle_beta 100.14
_cell_angle_gamma 90.00
loop_
_space_group_symop_operation_xyz
'x,y,z'
'-x,-y,-z'
'-x,y,-z'
'x,-y,z'
'x+1/2,y+1/2,z'
'-x+1/2,-y+1/2,-z'
'-x+1/2,y+1/2,-z'
'x+1/2,-y+1/2,z'
loop_
_atom_site_label
_atom_site_type_symbol
_atom_site_fract_x
_atom_site_fract_y
_atom_site_fract_z
Dy1 Dy 0.000 0.167 0.000
Y1 Y 0.249 0.167 0.747
Y2 Y 0.249 0.500 0.747
Ho1 Ho 0.000 0.500 0.000
Th1 Th 0.000 0.000 0.500
Th2 Th 0.000 0.333 0.500
```



(10)
VASP calculation (GGA-PBE) on a relaxed Dy6Y3Ho2Th crystal.

The structure in CIF format:
```
data_Dy6Y3Ho2Th
_chemical_formula_sum 'Dy12 Y6 Ho4 Th2'
_space_group_name_H-M_alt 'C 1 2/m 1'
_space_group_IT_number 12
_cell_length_a 6.154
_cell_length_b 10.649
_cell_length_c 11.790
_cell_angle_alpha 90.00
_cell_angle_beta 100.00
_cell_angle_gamma 90.00
loop_
_space_group_symop_operation_xyz
'x,y,z'
'-x,-y,-z'
'-x,y,-z'
'x,-y,z'
'x+1/2,y+1/2,z'
'-x+1/2,-y+1/2,-z'
'-x+1/2,y+1/2,-z'
'x+1/2,-y+1/2,z'
loop_
_atom_site_label
_atom_site_type_symbol
_atom_site_fract_x
_atom_site_fract_y
_atom_site_fract_z
Dy1 Dy 0.247 0.000 0.252
Dy2 Dy 0.249 0.165 0.748
Y1 Y 0.000 0.167 0.000
Y2 Y 0.000 0.500 0.000
Ho1 Ho 0.000 0.333 0.500
Th1 Th 0.000 0.000 0.500
```



(11)
VASP calculation (GGA-PBE) on a relaxed DyHoTi crystal.

The structure in CIF format:
```
data_DyHoTi
_chemical_formula_sum 'Dy2 Ho2 Ti2'
_space_group_name_H-M_alt 'P 1 21/m 1'
_space_group_IT_number 11
_cell_length_a 5.489
_cell_length_b 3.511
_cell_length_c 8.587
_cell_angle_alpha 90.00
_cell_angle_beta 105.01
_cell_angle_gamma 90.00
loop_
_space_group_symop_operation_xyz
'x,y,z'
'-x,-y,-z'
'-x,y+1/2,-z'
'x,-y+1/2,z'
loop_
_atom_site_label
_atom_site_type_symbol
_atom_site_fract_x
_atom_site_fract_y
_atom_site_fract_z
Dy1 Dy 0.225 0.250 0.439
Ho1 Ho 0.372 0.750 0.824
Ti1 Ti 0.105 0.750 0.115
```



(12)
VASP calculation (GGA-PBE) on a relaxed DyHoTi crystal.

The structure in CIF format:
```
data_DyHoTi
_chemical_formula_sum 'Dy1 Ho1 Ti1'
_space_group_name_H-M_alt 'P -6 m 2'
_space_group_IT_number 187
_space_group_name_Hall 'P -6 2'
_cell_length_a 5.2258
_cell_length_b 5.2258
_cell_length_c 3.3022
_cell_angle_alpha 90.00
_cell_angle_beta 90.00
_cell_angle_gamma 120.00
loop_
_atom_site_label
_atom_site_type_symbol
_atom_site_fract_x
_atom_site_fract_y
_atom_site_fract_z
Dy1 Dy 0.0000 0.0000 0.0000
Ho1 Ho 0.6667 0.3333 0.5000
Ti1 Ti 0.3333 0.6667 0.0000
```



Ordered magnetization results: 0.001 0.000 0.000 0.000 0.000 0.000 0.000 0.000 0.000 0.000 2.504 1.418; unit μB/cell.
Ordered Fermi-level density of states results: 17.15 17.11 12.81 16.71 8.69 15.74 15.23 16.35 18.48 16.32 4.35 4.12; unit states/eV/f.u..
Ordered energy of formation from the pure elements results: 29 29 142 31 13 29 144 29 31 29 41 67; unit kJ/mol of formula units.